The following is a PBE+U calculation of an optimized crystal structure of CaPaCr2O8, from the Alexandria database.

Summary:
Final energy (eV/atom): -7.847
Total moment (Bohr magnetons per cell): 3.00

Unit cell a=5.9996 b=5.9996 c=5.9996 alpha=106.81 beta=106.81 gamma=114.93
Each line ends with the local moment (μB).
Sites, in units of the cell vectors:
Cr  0.7500  0.2500  0.5000  1.99
Cr  0.5000  0.5000  0.0000  1.15
O  0.3798  0.0782  0.3017  -0.03
O  0.7765  0.0782  0.6983  -0.03
O  0.9218  0.6202  0.6983  -0.03
O  0.9218  0.2235  0.3017  -0.03
O  0.4979  0.6773  0.8206  -0.04
O  0.3227  0.1432  0.8206  -0.04
O  0.8568  0.6773  0.1794  -0.04
O  0.3227  0.5021  0.1794  -0.04
Pa  0.0000  0.0000  0.0000  0.11
Ca  0.2500  0.7500  0.5000  0.01